Record 1
Below is an optimized crystal structure of PWC2Se, with properties calculated at the GGA-PBE level.

Calculated values
Total magnetic moment = 0.052 μB/atom
Calculated total energy = -5.4655 eV per atom
Symmetry = P4/mmm, No. 123

Cell: 3.7714 3.7714 5.1626 Å, 90.00 90.00 90.00°
With the nearest neighbours (Å) after each atom.
Sites, in units of the cell vectors:
P1 0.0000 0.0000 0.0000  4 W 2.67
W1 0.5000 0.5000 0.0000  2 Se 2.58, 4 P 2.67
C1 0.0000 0.5000 0.5000  2 Se 1.89
C2 0.5000 0.0000 0.5000  2 Se 1.89
Se1 0.5000 0.5000 0.5000  4 C 1.89


Record 2
Below is an optimized crystal structure of Ca2YGa, with properties calculated at the GGA-PBE level.

Calculated values
Total magnetic moment = 0.000 μB/atom
Formation energy = 0.203 eV/atom
Calculated total energy = -3.1707 eV per atom
Symmetry = R-3m, No. 166

Cell: 12.4339 12.4339 12.4339 Å, 16.76 16.76 16.76°
With the nearest neighbours (Å) after each atom.
Sites, in units of the cell vectors:
Ca1 0.0836 0.0836 0.0836  1 Ga 3.07
Ca2 0.9164 0.9164 0.9164  1 Ga 3.07
Y1 0.5000 0.5000 0.5000  6 Y 3.62, 6 Ca 3.70
Ga1 0.0000 0.0000 0.0000  2 Ca 3.07


Record 3
Below is an optimized crystal structure of RbSi3I, with properties calculated at the GGA-PBE level.

Calculated values
ΔE to the lowest computed polymorph = 896.1 meV/atom
Total magnetic moment = 0.735 μB/atom
Calculated total energy = -1.6498 eV per atom
Symmetry = Pm-3m, No. 221

Cell: 6.0033 6.0033 6.0033 Å, 90.00 90.00 90.00°
With the nearest neighbours (Å) after each atom.
Sites, in units of the cell vectors:
Rb1 0.0000 0.0000 0.0000  6 Si 3.00
Si1 0.0000 0.0000 0.5000  2 Rb 3.00
Si2 0.0000 0.5000 0.0000  2 Rb 3.00
Si3 0.5000 0.0000 0.0000  2 Rb 3.00
I1 0.5000 0.5000 0.5000  12 Si 4.24


Record 4
Below is an optimized crystal structure of PmTl2SbO4, with properties calculated at the GGA-PBE level.

Calculated values
Total magnetic moment = 0.000 μB/atom
Calculated total energy = -5.6701 eV per atom
Symmetry = Imma, No. 74

Cell: 7.3871 7.3871 7.3871 Å, 120.12 119.79 90.08°
With the nearest neighbours (Å) after each atom.
Sites, in units of the cell vectors:
Pm1 0.0000 0.0000 0.0000  6 O 2.41
Pm2 0.5000 0.0000 0.5000  6 O 2.41
Tl1 0.0000 0.5000 0.5000  6 O 2.85-2.86
Tl2 0.5000 0.0000 0.0000  6 O 2.86-2.88
Tl3 0.5000 0.5000 0.0000  6 O 2.85-2.86
Tl4 0.5000 0.5000 0.5000  6 O 2.86-2.88
Sb1 0.0000 0.0000 0.5000  6 O 2.38-2.41
Sb2 0.0000 0.5000 0.0000  6 O 2.38-2.41
O1 0.1860 0.2289 0.9571  2 Sb 2.41, 1 Pm 2.41
O2 0.2255 0.1812 0.4557  1 Sb 2.38, 2 Pm 2.41
O3 0.2255 0.7698 0.0443  1 Sb 2.38, 2 Pm 2.41
O4 0.2282 0.7711 0.4571  2 Sb 2.41, 1 Pm 2.41
O5 0.7718 0.2289 0.5429  2 Sb 2.41, 1 Pm 2.41
O6 0.7745 0.2302 0.9557  1 Sb 2.38, 2 Pm 2.41
O7 0.7745 0.8188 0.5443  1 Sb 2.38, 2 Pm 2.41
O8 0.8140 0.7711 0.0429  2 Sb 2.41, 1 Pm 2.41


Record 5
Below is an optimized crystal structure of ErTlPt, with properties calculated at the GGA-PBE level.

Calculated values
Total magnetic moment = 0.001 μB/atom
Formation energy = -0.706 eV/atom
Calculated total energy = -5.0289 eV per atom
Symmetry = F-43m, No. 216

Cell: 4.7385 4.7385 4.7385 Å, 60.00 60.00 60.00°
With the nearest neighbours (Å) after each atom.
Sites, in units of the cell vectors:
Er1 0.0000 0.0000 0.0000  4 Pt 2.90
Tl1 0.5000 0.5000 0.5000  4 Pt 2.90
Pt1 0.7500 0.7500 0.7500  4 Tl 2.90, 4 Er 2.90


Record 6
Below is an optimized crystal structure of Zr2SiMo, with properties calculated at the GGA-PBE level.

Calculated values
Total magnetic moment = 0.000 μB/atom
Calculated total energy = -8.4354 eV per atom
Symmetry = Cmm2, No. 35

Cell: 3.0130 3.0130 8.5784 Å, 90.00 90.00 105.93°
With the nearest neighbours (Å) after each atom.
Sites, in units of the cell vectors:
Zr1 0.0000 0.0000 0.0000  2 Si 2.70, 4 Zr 3.01
Zr2 0.5000 0.5000 0.3160  2 Mo 2.83, 4 Zr 3.01
Si1 0.5000 0.5000 0.7667  2 Mo 2.48, 2 Zr 2.70
Mo1 0.0000 0.0000 0.5699  2 Si 2.48


Record 7
Below is an optimized crystal structure of ZrMo2C, with properties calculated at the GGA-PBE level.

Calculated values
Total magnetic moment = 0.000 μB/atom
Formation energy = 0.432 eV/atom
Calculated total energy = -9.4268 eV per atom
Symmetry = Immm, No. 71

Cell: 6.1648 6.1648 6.1648 Å, 150.71 147.44 44.36°
With the nearest neighbours (Å) after each atom.
Sites, in units of the cell vectors:
Zr1 0.0000 0.0000 0.0000  4 C 2.33
Mo1 0.3043 0.8043 0.5000  4 Mo 2.64, 2 C 2.72, 2 Zr 2.82
Mo2 0.6957 0.1957 0.5000  4 Mo 2.64, 2 C 2.72, 2 Zr 2.82
C1 0.5000 0.5000 0.0000  4 Zr 2.33


Record 8
Below is an optimized crystal structure of Li3Ag2Pd2, with properties calculated at the GGA-PBE level.

Calculated values
ΔE to the lowest computed polymorph = 0.0 meV/atom
Total magnetic moment = 0.000 μB/atom
Formation energy = -0.253 eV/atom
Calculated total energy = -3.3711 eV per atom
Symmetry = C2/m, No. 12

Cell: 6.5033 6.5033 6.7398 Å, 114.20 114.20 24.91°
With the nearest neighbours (Å) after each atom.
Sites, in units of the cell vectors:
Li1 0.0000 0.0000 0.0000  2 Pd 2.64, 4 Ag 2.76, 6 Li 2.81-2.89
Li2 0.2804 0.2804 0.8292  3 Pd 2.57-2.65, 3 Ag 2.77-2.80, 2 Li 2.81
Li3 0.7196 0.7196 0.1708  3 Pd 2.57-2.65, 3 Ag 2.77-2.80, 2 Li 2.81
Ag1 0.4265 0.4265 0.2710  5 Li 2.76-2.80, 3 Ag 2.81-2.86, 4 Pd 2.88-2.95
Ag2 0.5735 0.5735 0.7290  5 Li 2.76-2.80, 3 Ag 2.81-2.86, 4 Pd 2.88-2.95
Pd1 0.1439 0.1439 0.4194  4 Li 2.57-2.65, 4 Pd 2.81-2.82, 2 Ag 2.88
Pd2 0.8561 0.8561 0.5806  4 Li 2.57-2.65, 4 Pd 2.81-2.82, 2 Ag 2.88


Record 9
Below is an optimized crystal structure of Ca2MoOs, with properties calculated at the GGA-PBE level.

Calculated values
ΔE to the lowest computed polymorph = 531.8 meV/atom
Total magnetic moment = 0.000 μB/atom
Formation energy = 0.779 eV/atom
Calculated total energy = -5.7369 eV per atom
Symmetry = C2/m, No. 12

Cell: 5.7138 5.7138 2.8583 Å, 95.74 95.74 121.08°
With the nearest neighbours (Å) after each atom.
Sites, in units of the cell vectors:
Ca1 0.0000 0.5000 0.0000  4 Ca 2.81-2.86, 2 Mo 3.06, 2 Os 3.06
Ca2 0.5000 0.0000 0.0000  4 Ca 2.81-2.86, 2 Mo 3.06, 2 Os 3.06
Mo1 0.0000 0.0000 0.5000  2 Os 2.81, 2 Mo 2.86, 4 Ca 3.06
Os1 0.5000 0.5000 0.5000  2 Mo 2.81, 2 Os 2.86, 4 Ca 3.06


Record 10
Below is an optimized crystal structure of Ba2BrF3, with properties calculated at the GGA-PBE level.

Calculated values
Total magnetic moment = 0.000 μB/atom
Calculated total energy = -5.2590 eV per atom
Symmetry = C2/m, No. 12

Cell: 9.0283 9.0283 10.9570 Å, 101.47 101.47 27.66°
With the nearest neighbours (Å) after each atom.
Sites, in units of the cell vectors:
Ba1 0.0335 0.0335 0.2812  4 F 2.64-2.88
Ba2 0.1425 0.1425 0.9563  5 F 2.64-2.67
Ba3 0.3081 0.3081 0.3651  6 F 2.69-2.82
Ba4 0.6919 0.6919 0.6349  6 F 2.69-2.82
Ba5 0.8575 0.8575 0.0437  5 F 2.64-2.67
Ba6 0.9665 0.9665 0.7188  4 F 2.64-2.88
Br1 0.3364 0.3364 0.7902  6 Ba 3.35-3.49, 7 F 3.39-3.73
Br2 0.5000 0.5000 0.5000  6 Ba 3.37-3.39, 6 F 3.41-3.55
Br3 0.6636 0.6636 0.2098  6 Ba 3.35-3.49, 7 F 3.39-3.73
F1 0.0000 0.0000 0.0000  2 Ba 2.64
F2 0.1232 0.1232 0.7108  4 Ba 2.64-2.77
F3 0.1758 0.1758 0.4665  4 Ba 2.77-2.88, 1 F 3.00
F4 0.2841 0.2841 0.1032  4 Ba 2.66-2.81
F5 0.4588 0.4588 0.1824  2 Ba 2.64
F6 0.5412 0.5412 0.8176  2 Ba 2.64
F7 0.7159 0.7159 0.8968  4 Ba 2.66-2.81
F8 0.8242 0.8242 0.5335  4 Ba 2.77-2.88, 1 F 3.00
F9 0.8768 0.8768 0.2892  4 Ba 2.64-2.77


Record 11
Below is an optimized crystal structure of AlHPb2, with properties calculated at the GGA-PBE level.

Calculated values
ΔE to the lowest computed polymorph = 0.0 meV/atom
Total magnetic moment = 0.000 μB/atom
Calculated total energy = -3.1518 eV per atom
Symmetry = Fm-3m, No. 225

Cell: 4.9676 4.9676 4.9676 Å, 60.00 60.00 60.00°
With the nearest neighbours (Å) after each atom.
Sites, in units of the cell vectors:
Al1 0.0000 0.0000 0.0000  8 Pb 3.04
H1 0.5000 0.5000 0.5000  8 Pb 3.04
Pb1 0.2500 0.2500 0.2500  4 H 3.04, 4 Al 3.04
Pb2 0.7500 0.7500 0.7500  4 H 3.04, 4 Al 3.04


Record 12
Below is an optimized crystal structure of Dy5Cu4Ir, with properties calculated at the GGA-PBE level.

Calculated values
Total magnetic moment = 0.000 μB/atom
Formation energy = -0.368 eV/atom
Calculated total energy = -5.1940 eV per atom
Symmetry = P4/mmm, No. 123

Cell: 3.4595 3.4595 17.3951 Å, 90.00 90.00 90.00°
With the nearest neighbours (Å) after each atom.
Sites, in units of the cell vectors:
Dy1 0.0000 0.0000 0.0000  8 Cu 3.00
Dy2 0.0000 0.0000 0.2015  8 Cu 2.98-3.02
Dy3 0.0000 0.0000 0.4046  4 Ir 2.96, 4 Cu 3.05
Dy4 0.0000 0.0000 0.5954  4 Ir 2.96, 4 Cu 3.05
Dy5 0.0000 0.0000 0.7985  8 Cu 2.98-3.02
Cu1 0.5000 0.5000 0.1000  8 Dy 3.00-3.02
Cu2 0.5000 0.5000 0.2996  8 Dy 2.98-3.05
Cu3 0.5000 0.5000 0.7004  8 Dy 2.98-3.05
Cu4 0.5000 0.5000 0.9000  8 Dy 3.00-3.02
Ir1 0.5000 0.5000 0.5000  8 Dy 2.96